A geometry-optimized DyHf2Th structure, computed with GGA-PBE.

Results
**Magnetization**: 0.00 μB per formula unit
**Calculated total energy**: -7.82 eV per atom
**E_form**: 0.16 eV/atom
**Mass density**: 11.8 Mg/m³
**Crystal system**: tetragonal

```
data_DyHf2Th
_chemical_formula_sum 'Dy1 Hf2 Th1'
_space_group_name_H-M_alt 'P 4/m m m'
_space_group_IT_number 123
_space_group_name_Hall '-P 4 2'
_cell_length_a 4.757
_cell_length_b 4.757
_cell_length_c 4.690
_cell_angle_alpha 90.00
_cell_angle_beta 90.00
_cell_angle_gamma 90.00
loop_
_atom_site_label
_atom_site_type_symbol
_atom_site_fract_x
_atom_site_fract_y
_atom_site_fract_z
_atom_site_occupancy
Dy1 Dy 0.000 0.000 0.000 1
Hf1 Hf 0.000 0.500 0.500 1
Th1 Th 0.500 0.500 0.000 1
```

***

A geometry-optimized HgIr2Au structure, computed with GGA-PBE.

Results
**Magnetization**: 0.01 μB per formula unit
**Calculated total energy**: -4.66 eV per atom
**E_form**: 0.67 eV/atom
**Mass density**: 19.2 Mg/m³
**Crystal system**: tetragonal

```
data_HgIr2Au
_chemical_formula_sum 'Hg1 Ir2 Au1'
_space_group_name_H-M_alt 'P 4/m m m'
_space_group_IT_number 123
_space_group_name_Hall '-P 4 2'
_cell_length_a 3.313
_cell_length_b 3.313
_cell_length_c 6.161
_cell_angle_alpha 90.00
_cell_angle_beta 90.00
_cell_angle_gamma 90.00
loop_
_atom_site_label
_atom_site_type_symbol
_atom_site_fract_x
_atom_site_fract_y
_atom_site_fract_z
_atom_site_occupancy
Hg1 Hg 0.000 0.000 0.000 1
Ir1 Ir 0.500 0.500 0.262 1
Au1 Au 0.000 0.000 0.500 1
```

***

A geometry-optimized PmYNO structure, computed with GGA-PBE.

Results
**Magnetization**: 0.01 μB per formula unit
**Calculated total energy**: -7.96 eV per atom
**Mass density**: 7.1 Mg/m³
**Energy relative to the elements, uncorrected**: -7.33 eV/f.u.
**Crystal system**: orthorhombic

```
data_PmYNO
_chemical_formula_sum 'Pm2 Y2 N2 O2'
_space_group_name_H-M_alt 'I m m 2'
_space_group_IT_number 44
_space_group_name_Hall 'I 2 -2'
_cell_length_a 3.212
_cell_length_b 3.216
_cell_length_c 11.948
_cell_angle_alpha 90.00
_cell_angle_beta 90.00
_cell_angle_gamma 90.00
loop_
_atom_site_label
_atom_site_type_symbol
_atom_site_fract_x
_atom_site_fract_y
_atom_site_fract_z
_atom_site_occupancy
Pm1 Pm 0.000 0.000 0.000 1
Y1 Y 0.000 0.500 0.257 1
N1 N 0.000 0.500 0.842 1
O1 O 0.000 0.000 0.601 1
```